First-principles (PBE) data for an optimized crystal structure of TlAgHg2Cl6, as listed in the Alexandria database.

Cell and atoms, written as extended XYZ:
```
20
Lattice="7.295 -6.247 0.000 7.295 6.247 0.000 -2.948 0.000 7.433" Properties=species:S:1:pos:R:3 pbc="T T T"
Tl 5.084 4.422 5.574
Tl 6.558 -4.422 1.858
Ag 6.558 3.579 1.858
Ag 5.084 -3.579 5.574
Hg 1.889 0.866 6.149
Hg 3.363 -0.866 2.433
Hg 8.280 0.866 4.999
Hg 9.754 -0.866 1.283
Cl -0.273 0.774 4.882
Cl 2.560 3.146 7.072
Cl 1.201 -0.774 1.165
Cl 3.715 0.907 4.185
Cl 7.609 3.146 4.077
Cl 5.189 -0.907 0.469
Cl 6.454 0.907 6.963
Cl 4.034 -3.146 3.356
Cl 7.928 -0.907 3.247
Cl 10.441 0.774 6.267
Cl 9.082 -3.146 0.360
Cl 11.915 -0.774 2.551
```

Summary:
For the magnetic moment, the calculation gives 0.0 μB/f.u. The density of states at the Fermi level comes out at 0.0 states/eV/f.u. For the uncorrected formation energy, the calculation gives -0.63 eV/atom. The calculation puts the total energy at -2.32 eV/atom.


First-principles (PBE) data for an optimized crystal structure of NpCo3, as listed in the Alexandria database.

Cell and atoms, written as extended XYZ:
```
8
Lattice="5.211 0.000 0.000 -2.605 4.513 0.000 0.000 0.000 4.369" Properties=species:S:1:pos:R:3 pbc="T T T"
Np 0.000 3.009 1.092
Np 2.605 1.504 3.277
Co 0.000 1.474 3.277
Co -1.329 3.776 3.277
Co 1.277 0.737 1.092
Co 1.329 3.776 3.277
Co 3.934 0.737 1.092
Co 2.605 3.038 1.092
```

Summary:
For the magnetic moment, the calculation gives 0.0 μB/f.u. The density of states at the Fermi level comes out at 5.3 states/eV/f.u. As for the energy of formation: 0.0218 eV per atom. The calculation puts the total energy at -8.54 eV/atom.


First-principles (PBE) data for an optimized crystal structure of Li3SmAg3, as listed in the Alexandria database.

Cell and atoms, written as extended XYZ:
```
14
Lattice="6.765 0.000 0.000 0.000 6.765 0.000 0.000 0.000 6.765" Properties=species:S:1:pos:R:3 pbc="T T T"
Li 0.000 1.691 3.382
Li 0.000 5.074 3.382
Li 1.691 3.382 0.000
Li 3.382 0.000 1.691
Li 3.382 0.000 5.074
Li 5.074 3.382 0.000
Sm 0.000 0.000 0.000
Sm 3.382 3.382 3.382
Ag 0.000 3.382 1.691
Ag 0.000 3.382 5.074
Ag 1.691 0.000 3.382
Ag 3.382 1.691 0.000
Ag 3.382 5.074 0.000
Ag 5.074 0.000 3.382
```

Summary:
For the magnetic moment, the calculation gives 0.0 μB/f.u. The density of states at the Fermi level comes out at 3.4 states/eV/f.u. As for the energy of formation: 0.1914 eV per atom. The calculation puts the total energy at -2.52 eV/atom.


First-principles (PBE) data for an optimized crystal structure of BaCrSi, as listed in the Alexandria database.

Cell and atoms, written as extended XYZ:
```
3
Lattice="4.390 0.000 0.000 -2.195 3.802 0.000 0.000 0.000 5.053" Properties=species:S:1:pos:R:3 pbc="T T T"
Ba 0.000 0.000 0.000
Cr 2.195 1.267 2.527
Si 0.000 2.534 2.527
```

Summary:
For the magnetic moment, the calculation gives 3.9 μB/f.u. The density of states at the Fermi level comes out at 1.9 states/eV/f.u. For the uncorrected formation energy, the calculation gives 0.08 eV/atom. The calculation puts the total energy at -5.58 eV/atom.